No. 1
VASP calculation (PBE) on crystalline LiTbPuAl at its relaxed geometry.

E in eV/f.u.: -24.62
ΔH_f (0 K) in meV per atom: -1

Lattice parameters (Å, degrees): 7.273 7.273 7.273 90.00 90.00 90.00
Space group F-43m (No. 216)
One atom of each set of equivalent atoms:
Li 0.000 0.000 0.000 x4
Tb 0.250 0.250 0.750 x4
Pu 0.250 0.250 0.250 x4
Al 0.000 0.000 0.500 x4

---

No. 2
VASP calculation (PBE) on crystalline HfSbTeH at its relaxed geometry.

E in eV/f.u.: -22.31

Lattice parameters (Å, degrees): 5.954 3.538 8.663 90.00 103.53 90.00
Space group Cm (No. 8)
One atom of each set of equivalent atoms:
Hf 0.000 0.000 0.000 x2
Sb 0.267 0.500 0.290 x2
Te 0.081 0.500 0.751 x2
H 0.341 0.000 0.016 x2

---

No. 3
VASP calculation (PBE) on crystalline Tb6OsO12 at its relaxed geometry.

E in eV/f.u.: -156.39
Raw formation energy in eV/atom: -3.046

Lattice parameters (Å, degrees): 9.8762 9.8762 9.4320 90.00 90.00 120.00
Space group R-3 (No. 148, hexagonal axes)
One atom of each set of equivalent atoms:
Tb 0.0426 0.2547 0.1438 x18
Os 0.0000 0.0000 0.5000 x3
O 0.0335 0.2236 0.9010 x18
O 0.0382 0.1844 0.3891 x18

---

No. 4
VASP calculation (PBE) on crystalline RbVPt2 at its relaxed geometry.

E in eV/f.u.: -20.74
ΔH_f (0 K) in meV per atom: 357
Excess energy over the best structure of this formula in the dataset in meV per atom: 0

Lattice parameters (Å, degrees): 7.623 7.623 7.570 90.00 90.00 90.00
Space group I-42d (No. 122)
One atom of each set of equivalent atoms:
Rb 0.000 0.000 0.000 x4
V 0.000 0.000 0.500 x4
Pt 0.143 0.250 0.625 x8

---

> What is the E in the second record?

-22.31 eV/f.u.

---

> Which formula does entry 4 have?

RbVPt2

---

Please write out number 4 again, unchanged.
VASP calculation (PBE) on crystalline RbVPt2 at its relaxed geometry.

E in eV/f.u.: -20.74
ΔH_f (0 K) in meV per atom: 357
Excess energy over the best structure of this formula in the dataset in meV per atom: 0

Lattice parameters (Å, degrees): 7.623 7.623 7.570 90.00 90.00 90.00
Space group I-42d (No. 122)
One atom of each set of equivalent atoms:
Rb 0.000 0.000 0.000 x4
V 0.000 0.000 0.500 x4
Pt 0.143 0.250 0.625 x8